# 1
GGA-PBE Pm7CdGe2, optimized geometry; energy of formation from the pure elements = -0.267 eV/atom
1.0
-1.9700 4.3888 -2.0088
-2.8104 -4.3903 -0.0709
-4.9559 2.9885 11.3892
Pm Cd Ge
7 1 2
Direct
0.6667 0.3333 0.5847 Pm
0.6667 0.3333 0.8458 Pm
0.0000 0.0000 0.7185 Pm
0.0000 0.0000 0.2848 Pm
0.3333 0.6667 0.4405 Pm
0.3333 0.6667 0.9620 Pm
0.6667 0.3333 0.1255 Pm
0.0000 0.0000 0.0050 Cd
0.3333 0.6667 0.6943 Ge
0.6667 0.3333 0.3555 Ge

---

# 2
GGA-PBE Pm3Cd2Ge4, optimized geometry; energy of formation from the pure elements = -0.561 eV/atom
1.0
-0.4514 -2.5413 3.4398
4.9461 -1.8563 -3.4107
2.1011 6.9624 5.4196
Pm Cd Ge
3 2 4
Direct
0.6218 0.2436 0.6979 Pm
0.0000 0.0000 0.0000 Pm
0.3782 0.7564 0.3021 Pm
0.6787 0.3574 0.3391 Cd
0.3213 0.6426 0.6609 Cd
0.7146 0.4293 0.0584 Ge
0.2854 0.5707 0.9416 Ge
0.9260 0.8520 0.5887 Ge
0.0740 0.1480 0.4113 Ge

---

# 3
GGA-PBE Pm4Cd5Ge2, optimized geometry; energy of formation from the pure elements = -0.439 eV/atom
1.0
-1.2910 -2.4448 -3.2019
6.7158 -3.5498 0.0026
-3.3932 -5.8963 5.8703
Pm Cd Ge
4 5 2
Direct
0.5000 0.7691 0.5795 Pm
0.5000 0.1904 0.8476 Pm
0.5000 0.2309 0.4205 Pm
0.5000 0.8096 0.1524 Pm
0.0000 0.5505 0.3364 Cd
0.0000 0.1546 0.1245 Cd
0.0000 0.5000 0.0000 Cd
0.0000 0.8454 0.8755 Cd
0.0000 0.4495 0.6636 Cd
0.0000 0.0651 0.6298 Ge
0.0000 0.9349 0.3702 Ge

---

# 4
GGA-PBE PmCdGe2, optimized geometry; energy above the most stable polymorph in this dataset = 34 meV/atom; energy of formation from the pure elements = -0.426 eV/atom
1.0
-2.9507 -0.0158 -2.9858
-2.0252 -3.5704 2.0203
-2.5471 2.8606 2.5020
Ge Cd Pm
2 1 1
Direct
0.0000 0.0000 0.5000 Ge
0.0000 0.5000 0.0000 Ge
0.5000 0.5000 0.5000 Cd
0.5000 0.0000 0.0000 Pm

---

# 5
GGA-PBE Pm8CdGe5, optimized geometry; energy of formation from the pure elements = -0.698 eV/atom
1.0
-5.8789 4.4960 -2.8374
-0.2738 -7.1583 -3.3927
-0.8102 -0.7622 7.8479
Pm Cd Ge
8 1 5
Direct
0.1250 0.7618 0.0199 Pm
0.9801 0.1051 0.7419 Pm
0.7454 0.2397 0.3624 Pm
0.6376 0.3829 0.8772 Pm
0.4943 0.6171 0.2546 Pm
0.6368 0.8949 0.8750 Pm
0.2581 0.2382 0.3632 Pm
0.1228 0.7603 0.5057 Pm
0.2500 0.5000 0.7500 Cd
0.0081 0.3806 0.1312 Ge
0.8688 0.8769 0.2494 Ge
0.7506 0.6194 0.6275 Ge
0.5000 0.0000 0.5000 Ge
0.3725 0.1231 0.9919 Ge

---

# 6
GGA-PBE Pm2CdGe3, optimized geometry; energy above the most stable polymorph in this dataset = 0 meV/atom; energy of formation from the pure elements = -0.636 eV/atom
1.0
4.3665 0.0000 0.0000
0.0000 6.9843 0.0000
0.0000 0.0000 18.5800
Pm Cd Ge
8 4 12
Direct
0.2500 0.6785 0.5855 Pm
0.7500 0.8215 0.0855 Pm
0.2500 0.1785 0.9145 Pm
0.7500 0.3215 0.4145 Pm
0.2500 0.6899 0.7990 Pm
0.7500 0.8101 0.2990 Pm
0.2500 0.1899 0.7010 Pm
0.7500 0.3101 0.2010 Pm
0.2500 0.9479 0.4378 Cd
0.7500 0.5521 0.9378 Cd
0.2500 0.4479 0.0622 Cd
0.7500 0.0521 0.5622 Cd
0.2500 0.7701 0.9658 Ge
0.7500 0.7299 0.4658 Ge
0.2500 0.2701 0.5342 Ge
0.7500 0.2299 0.0342 Ge
0.2500 0.0005 0.1808 Ge
0.7500 0.4995 0.6808 Ge
0.2500 0.5005 0.3192 Ge
0.7500 0.9995 0.8192 Ge
0.2500 0.6333 0.1917 Ge
0.7500 0.8667 0.6917 Ge
0.2500 0.1333 0.3083 Ge
0.7500 0.3667 0.8083 Ge

---

# 7
GGA-PBE Pm2CdGe3, optimized geometry; energy above the most stable polymorph in this dataset = 111 meV/atom; energy of formation from the pure elements = -0.525 eV/atom
1.0
-4.5041 -0.4554 -4.0277
2.6002 -4.4827 -3.1402
-2.5109 -2.6584 8.0361
Pm Cd Ge
4 2 6
Direct
0.7500 0.2500 0.5000 Pm
0.7592 0.2408 0.0000 Pm
0.2500 0.7500 0.5000 Pm
0.2408 0.7592 0.0000 Pm
0.6653 0.6653 0.3307 Cd
0.3347 0.3347 0.6693 Cd
0.8334 0.8334 0.1638 Ge
0.6695 0.6695 0.8362 Ge
0.1666 0.1666 0.8362 Ge
0.3305 0.3305 0.1638 Ge
0.1644 0.1644 0.3288 Ge
0.8356 0.8356 0.6712 Ge

---

# 8
GGA-PBE PmCdGe2, optimized geometry; energy above the most stable polymorph in this dataset = 663 meV/atom; energy of formation from the pure elements = 0.203 eV/atom
1.0
-3.8310 0.1878 -3.1673
0.2034 -2.4926 -4.2999
-3.9307 -6.1214 0.4853
Ge Cd Pm
2 1 1
Direct
0.1307 0.1307 0.6079 Ge
0.8693 0.8693 0.3921 Ge
0.0000 0.0000 0.0000 Cd
0.5000 0.5000 0.5000 Pm

---

# 9
GGA-PBE PmCd2Ge, optimized geometry; energy above the most stable polymorph in this dataset = 0 meV/atom; energy of formation from the pure elements = -0.412 eV/atom
1.0
4.9427 0.0000 0.0000
0.0000 4.3470 0.0000
0.0000 0.0000 4.3470
Ge Cd Pm
1 2 1
Direct
0.5000 0.5000 0.5000 Ge
0.0000 0.0000 0.5000 Cd
0.0000 0.5000 0.0000 Cd
0.5000 0.0000 0.0000 Pm

---

# 10
GGA-PBE Pm5CdGe4, optimized geometry; energy of formation from the pure elements = -0.566 eV/atom
1.0
3.8453 0.0000 0.0000
0.0000 3.8453 0.0000
0.0000 0.0000 17.0190
Pm Cd Ge
5 1 4
Direct
0.5000 0.5000 0.1127 Pm
0.5000 0.5000 0.3080 Pm
0.5000 0.5000 0.5000 Pm
0.5000 0.5000 0.6920 Pm
0.5000 0.5000 0.8873 Pm
0.0000 0.0000 0.0000 Cd
0.0000 0.0000 0.2073 Ge
0.0000 0.0000 0.4072 Ge
0.0000 0.0000 0.5928 Ge
0.0000 0.0000 0.7927 Ge

---

# 11
GGA-PBE PmCdGe2, optimized geometry; energy above the most stable polymorph in this dataset = 250 meV/atom; energy of formation from the pure elements = -0.210 eV/atom
1.0
-0.7659 -4.9106 0.8430
3.5641 -3.3517 -1.2143
2.5764 -2.3661 3.6297
Ge Cd Pm
2 1 1
Direct
0.2500 0.2500 0.2500 Ge
0.7500 0.7500 0.7500 Ge
0.5000 0.5000 0.5000 Cd
0.0000 0.0000 0.0000 Pm

---

# 12
GGA-PBE Pm4CdGe3, optimized geometry; energy of formation from the pure elements = -0.689 eV/atom
1.0
4.4198 0.0000 0.0000
0.0000 4.1671 0.0000
0.0000 0.0000 11.3388
Pm Cd Ge
4 1 3
Direct
0.5000 0.5000 0.3691 Pm
0.0000 0.5000 0.8550 Pm
0.0000 0.0000 0.1492 Pm
0.5000 0.0000 0.6365 Pm
0.5000 0.5000 0.0736 Cd
0.0000 0.5000 0.5837 Ge
0.0000 0.0000 0.4228 Ge
0.5000 0.0000 0.9101 Ge

---

Quick rundown of final energy, same order as above: -4.6079; -4.3997; -3.4218; -4.1512; -5.1271; -4.6802; -4.5694; -3.5225; -3.2115; -4.8794; -3.9351; -4.9099 eV per atom
Quick rundown of magnetic moment, same order as above: 0.0; 0.0; 0.0; 0.0; 0.0; 0.0; 0.0; 0.0; 0.0; 0.9; 0.0; 0.2 μB/cell